Below is a geometry-optimized LuPdPb2 structure, with properties calculated at the PBE level.

Total DFT energy (no corrections): -4.610 eV per atom
Spin magnetization: 0.0 μB/f.u.
Energy of formation: -7.56 kcal/mol of atoms
D(E_F): 0.7674 states/eV/atom

Lattice parameters (Å, degrees): 4.6296 4.6296 4.4238 90.00 90.00 90.00
With the nearest neighbours (Å) after each atom.
Space group P4/mmm (No. 123)
Inequivalent atoms, fractional coordinates:
Lu 0.0000 0.0000 0.0000 (multiplicity 1)  8 Pb 3.20, 4 Pd 3.27
Pd 0.5000 0.5000 0.0000 (multiplicity 1)  8 Pb 3.20, 4 Lu 3.27
Pb 0.0000 0.5000 0.5000 (multiplicity 2)  4 Pd 3.20, 4 Lu 3.20, 4 Pb 3.27